Entry 1:
The following is a DFT calculation (PBE-GGA) of a relaxed structure of NpBrCl.

```
data_NpBrCl
_chemical_formula_sum 'Np4 Br4 Cl4'
_symmetry_space_group_name_H-M 'P 1'
_symmetry_Int_Tables_number 1
_cell_length_a 7.005
_cell_length_b 7.005
_cell_length_c 7.005
_cell_angle_alpha 90.00
_cell_angle_beta 90.00
_cell_angle_gamma 90.00
loop_
_symmetry_equiv_pos_as_xyz
'x,y,z'
loop_
_atom_site_label
_atom_site_type_symbol
_atom_site_fract_x
_atom_site_fract_y
_atom_site_fract_z
_atom_site_occupancy
Np1 Np 0.000 0.000 0.000 1
Np2 Np 0.000 0.500 0.500 1
Np3 Np 0.500 0.000 0.500 1
Np4 Np 0.500 0.500 0.000 1
Br1 Br 0.250 0.250 0.250 1
Br2 Br 0.250 0.750 0.750 1
Br3 Br 0.750 0.250 0.750 1
Br4 Br 0.750 0.750 0.250 1
Cl1 Cl 0.250 0.250 0.750 1
Cl2 Cl 0.250 0.750 0.250 1
Cl3 Cl 0.750 0.250 0.250 1
Cl4 Cl 0.750 0.750 0.750 1
```

Summary:
raw total energy	-19.69	eV per formula unit
energy relative to the elements, uncorrected	-3.23	eV/f.u.
SG	F-43m (216)


Entry 2:
The following is a DFT calculation (PBE-GGA) of a relaxed structure of NpBrCl2.

```
data_NpBrCl2
_chemical_formula_sum 'Np2 Br2 Cl4'
_symmetry_space_group_name_H-M 'P 1'
_symmetry_Int_Tables_number 1
_cell_length_a 10.164
_cell_length_b 3.865
_cell_length_c 7.620
_cell_angle_alpha 90.00
_cell_angle_beta 111.84
_cell_angle_gamma 90.00
loop_
_symmetry_equiv_pos_as_xyz
'x,y,z'
loop_
_atom_site_label
_atom_site_type_symbol
_atom_site_fract_x
_atom_site_fract_y
_atom_site_fract_z
_atom_site_occupancy
Np1 Np 0.000 0.000 0.000 1
Np2 Np 0.500 0.500 0.000 1
Br1 Br 0.029 0.500 0.295 1
Br2 Br 0.529 0.000 0.295 1
Cl1 Cl 0.214 0.500 0.996 1
Cl2 Cl 0.372 0.000 0.737 1
Cl3 Cl 0.714 0.000 0.996 1
Cl4 Cl 0.872 0.500 0.737 1
```

Summary:
raw total energy	-24.49	eV per formula unit
energy relative to the elements, uncorrected	-6.18	eV/f.u.
SG	Cm (8)
energy above the lowest structure with this stoichiometry	30	meV/atom


Entry 3:
The following is a DFT calculation (PBE-GGA) of a relaxed structure of Rb2NpBr4Cl2.

```
data_Rb2NpBr4Cl2
_chemical_formula_sum 'Rb2 Np1 Br4 Cl2'
_symmetry_space_group_name_H-M 'P 1'
_symmetry_Int_Tables_number 1
_cell_length_a 7.620
_cell_length_b 7.620
_cell_length_c 6.654
_cell_angle_alpha 98.21
_cell_angle_beta 98.21
_cell_angle_gamma 62.31
loop_
_symmetry_equiv_pos_as_xyz
'x,y,z'
loop_
_atom_site_label
_atom_site_type_symbol
_atom_site_fract_x
_atom_site_fract_y
_atom_site_fract_z
_atom_site_occupancy
Rb1 Rb 0.170 0.170 0.260 1
Rb2 Rb 0.830 0.830 0.740 1
Np1 Np 0.500 0.500 0.000 1
Br1 Br 0.155 0.660 0.200 1
Br2 Br 0.340 0.845 0.800 1
Br3 Br 0.660 0.155 0.200 1
Br4 Br 0.845 0.340 0.800 1
Cl1 Cl 0.339 0.339 0.711 1
Cl2 Cl 0.661 0.661 0.289 1
```

Summary:
raw total energy	-39.88	eV per formula unit
energy relative to the elements, uncorrected	-14.62	eV/f.u.
SG	C2/m (12)


Entry 4:
The following is a DFT calculation (PBE-GGA) of a relaxed structure of Rb2NpBr2Cl4.

```
data_Rb2NpBr2Cl4
_chemical_formula_sum 'Rb2 Np1 Br2 Cl4'
_symmetry_space_group_name_H-M 'P 1'
_symmetry_Int_Tables_number 1
_cell_length_a 7.710
_cell_length_b 7.710
_cell_length_c 7.710
_cell_angle_alpha 120.75
_cell_angle_beta 120.75
_cell_angle_gamma 88.71
loop_
_symmetry_equiv_pos_as_xyz
'x,y,z'
loop_
_atom_site_label
_atom_site_type_symbol
_atom_site_fract_x
_atom_site_fract_y
_atom_site_fract_z
_atom_site_occupancy
Rb1 Rb 0.250 0.750 0.500 1
Rb2 Rb 0.750 0.250 0.500 1
Np1 Np 0.000 0.000 0.000 1
Br1 Br 0.253 0.253 0.000 1
Br2 Br 0.747 0.747 0.000 1
Cl1 Cl 0.241 0.241 0.482 1
Cl2 Cl 0.241 0.759 0.000 1
Cl3 Cl 0.759 0.241 0.000 1
Cl4 Cl 0.759 0.759 0.518 1
```

Summary:
raw total energy	-41.23	eV per formula unit
energy relative to the elements, uncorrected	-15.63	eV/f.u.
SG	I4/mmm (139)


Entry 5:
The following is a DFT calculation (PBE-GGA) of a relaxed structure of NpSBrCl.

```
data_NpSBrCl
_chemical_formula_sum 'Np3 S3 Br3 Cl3'
_symmetry_space_group_name_H-M 'P 1'
_symmetry_Int_Tables_number 1
_cell_length_a 4.486
_cell_length_b 4.486
_cell_length_c 21.749
_cell_angle_alpha 90.00
_cell_angle_beta 90.00
_cell_angle_gamma 120.00
loop_
_symmetry_equiv_pos_as_xyz
'x,y,z'
loop_
_atom_site_label
_atom_site_type_symbol
_atom_site_fract_x
_atom_site_fract_y
_atom_site_fract_z
_atom_site_occupancy
Np1 Np 0.000 0.000 0.000 1
Np2 Np 0.333 0.667 0.667 1
Np3 Np 0.667 0.333 0.333 1
S1 S 0.000 0.000 0.642 1
S2 S 0.333 0.667 0.309 1
S3 S 0.667 0.333 0.976 1
Br1 Br 0.000 0.000 0.876 1
Br2 Br 0.333 0.667 0.543 1
Br3 Br 0.667 0.333 0.209 1
Cl1 Cl 0.000 0.000 0.400 1
Cl2 Cl 0.333 0.667 0.066 1
Cl3 Cl 0.667 0.333 0.733 1
```

Summary:
raw total energy	-25.39	eV per formula unit
energy relative to the elements, uncorrected	-4.80	eV/f.u.
SG	R3m (160)


Entry 6:
The following is a DFT calculation (PBE-GGA) of a relaxed structure of NpTl2Br2Cl4.

```
data_NpTl2Br2Cl4
_chemical_formula_sum 'Np1 Tl2 Br2 Cl4'
_symmetry_space_group_name_H-M 'P 1'
_symmetry_Int_Tables_number 1
_cell_length_a 7.616
_cell_length_b 7.616
_cell_length_c 7.662
_cell_angle_alpha 113.91
_cell_angle_beta 113.91
_cell_angle_gamma 58.21
loop_
_symmetry_equiv_pos_as_xyz
'x,y,z'
loop_
_atom_site_label
_atom_site_type_symbol
_atom_site_fract_x
_atom_site_fract_y
_atom_site_fract_z
_atom_site_occupancy
Np1 Np 0.000 0.000 0.000 1
Tl1 Tl 0.258 0.258 0.788 1
Tl2 Tl 0.742 0.742 0.212 1
Br1 Br 0.217 0.217 0.319 1
Br2 Br 0.783 0.783 0.681 1
Cl1 Cl 0.178 0.686 0.166 1
Cl2 Cl 0.314 0.822 0.834 1
Cl3 Cl 0.686 0.178 0.166 1
Cl4 Cl 0.822 0.314 0.834 1
```

Summary:
raw total energy	-40.15	eV per formula unit
energy relative to the elements, uncorrected	-11.74	eV/f.u.
SG	C2/m (12)